# 1
Density functional theory data (PBE) for a relaxed TbDyMo4 crystal.

Cell and atoms, written as POSCAR:
```
TbDyMo4
1.0
5.524 0.000 0.000
2.762 4.784 0.000
2.762 1.595 4.510
Mo Tb Dy
4 1 1
Direct
0.125 0.625 0.625
0.625 0.125 0.625
0.625 0.625 0.625
0.625 0.625 0.125
0.250 0.250 0.250
0.000 0.000 0.000
```

Space group   F-43m
Spin magnetization   0.000 μB per cell
E_form   0.108 eV per atom
Calculated density   9.823 Mg/m³

---

# 2
Density functional theory data (PBE) for a relaxed YErI3 crystal.

Cell and atoms, written as POSCAR:
```
YErI3
1.0
-0.777 3.291 -2.248
-9.211 3.533 4.690
-0.039 8.552 8.864
I Er Y
6 2 2
Direct
0.067 0.620 0.247
0.818 0.234 0.130
0.182 0.766 0.870
0.361 0.817 0.460
0.933 0.380 0.753
0.639 0.183 0.540
0.432 0.168 0.968
0.568 0.832 0.032
0.925 0.905 0.244
0.075 0.095 0.756
```

Formation energy from raw total energies   -1.109 eV/atom
Space group   C2/m
Spin magnetization   0.000 μB per cell
Calculated density   4.683 Mg/m³

---

# 3
Density functional theory data (PBE) for a relaxed SmLuMgTi crystal.

Cell and atoms, written as POSCAR:
```
SmLuMgTi
1.0
5.246 0.000 0.000
2.623 4.544 0.000
2.623 1.515 4.284
Ti Mg Sm Lu
1 1 1 1
Direct
0.250 0.250 0.250
0.750 0.750 0.750
0.500 0.500 0.500
0.000 0.000 0.000
```

Space group   F-43m
Spin magnetization   2.056 μB per cell
E_form   0.152 eV per atom
Calculated density   6.464 Mg/m³

---

# 4
Density functional theory data (PBE) for a relaxed Cs5HBr4 crystal.

Cell and atoms, written as POSCAR:
```
Cs5HBr4
1.0
-4.400 2.409 1.193
-2.602 -3.243 -3.051
1.137 -10.806 14.875
Cs H Br
5 1 4
Direct
0.093 0.093 0.187
0.500 0.500 0.000
0.700 0.700 0.399
0.907 0.907 0.813
0.300 0.300 0.601
0.000 0.000 0.000
0.198 0.198 0.395
0.402 0.402 0.804
0.802 0.802 0.605
0.598 0.598 0.196
```

Uncorrected energy   -28.779 eV/cell
Space group   I4/mmm
Spin magnetization   0.027 μB per cell
Calculated density   3.407 Mg/m³

---

# 5
Density functional theory data (PBE) for a relaxed Rb3Y2ZrTe6 crystal.

Cell and atoms, written as POSCAR:
```
Rb3Y2ZrTe6
1.0
-7.404 0.849 -1.844
1.951 -2.615 6.949
2.002 8.637 1.272
Zr Y Rb Te
1 2 3 6
Direct
0.000 0.000 0.000
0.334 0.666 0.000
0.666 0.334 0.000
0.500 0.500 0.500
0.830 0.170 0.500
0.170 0.830 0.500
0.745 0.745 0.199
0.066 0.388 0.198
0.612 0.934 0.802
0.255 0.255 0.801
0.388 0.066 0.198
0.934 0.612 0.802
```

Formation energy from raw total energies   -1.225 eV/atom
Space group   C2/m
Spin magnetization   0.819 μB per cell
Calculated density   4.894 Mg/m³

---

# 6
Density functional theory data (PBE) for a relaxed Ga2PdPb crystal.

Cell and atoms, written as POSCAR:
```
Ga2PdPb
1.0
-3.787 -2.082 0.288
-0.252 -4.193 -1.056
-0.208 -3.452 4.872
Ga Pb Pd
2 1 1
Direct
0.043 0.043 0.872
0.287 0.287 0.139
0.494 0.494 0.519
0.677 0.677 0.970
```

Space group   R3m
Spin magnetization   0.000 μB per cell
E_form   -0.209 eV per atom
Calculated density   8.536 Mg/m³

---

Q: Look up the spin magnetization of the first one.
A: 0.000 μB per cell

---

Q: What is the spin magnetization in the fourth record?
A: 0.027 μB per cell

---

Q: Among the records above, which one has the highest calculated density?
A: TbDyMo4